Entry 1:
Here is crystalline AlZnCo at its relaxed geometry from Alexandria via LeMat-Bulk. Energies are from PBE.

Cell lengths 4.8552, 4.8552, 4.8552 Å; angles 144.43, 144.55, 51.09 degrees
Closest atoms and distances in Å follow each position.
Sites, in units of the cell vectors:
Zn1 0.6761 0.6761 0.0000  4 Co 2.54, 5 Al 2.69
Co1 0.3405 0.3405 0.0000  4 Al 2.44, 4 Zn 2.54
Al1 0.9833 0.9833 0.0000  4 Co 2.44, 5 Zn 2.69

Summary:
Polymorph energy (0 for the lowest one), meV per atom: 0
Total moment, μB per cell: 0.46

=====

Entry 2:
Here is crystalline AlZnCo2 at its relaxed geometry from Alexandria via LeMat-Bulk. Energies are from PBE.

Cell lengths 4.5801, 4.5801, 4.5801 Å; angles 134.11, 134.11, 66.92 degrees
Closest atoms and distances in Å follow each position.
Sites, in units of the cell vectors:
Zn1 0.5000 0.5000 0.0000  8 Co 2.53-2.62, 4 Al 2.62
Co1 0.0000 0.0000 0.0000  4 Zn 2.53, 4 Al 2.62, 4 Co 2.62
Co2 0.2500 0.7500 0.5000  4 Al 2.53, 4 Co 2.62, 4 Zn 2.62
Al1 0.7500 0.2500 0.5000  8 Co 2.53-2.62, 4 Zn 2.62

Summary:
E, eV per atom: -4.94
Total moment, μB per cell: 2.12

=====

Entry 3:
Here is crystalline AlZnCo2 at its relaxed geometry from Alexandria via LeMat-Bulk. Energies are from PBE.

Cell lengths 8.5333, 8.5333, 8.5333 Å; angles 17.84, 17.84, 17.84 degrees
Closest atoms and distances in Å follow each position.
Sites, in units of the cell vectors:
Zn1 0.5053 0.5053 0.5053  3 Co 2.59, 6 Zn 2.65, 3 Al 2.86
Co1 0.9969 0.9969 0.9969  9 Co 2.43-2.65, 3 Al 2.51
Co2 0.2551 0.2551 0.2551  9 Co 2.43-2.65, 3 Zn 2.59
Al1 0.7428 0.7428 0.7428  3 Co 2.51, 6 Al 2.65

Summary:
E, eV per atom: -4.79
Total moment, μB per cell: 2.58

=====

Entry 4:
Here is crystalline AlZn3Co at its relaxed geometry from Alexandria via LeMat-Bulk. Energies are from PBE.

Cell lengths 4.7195, 4.7195, 4.7195 Å; angles 90.00, 90.00, 90.00 degrees
Closest atoms and distances in Å follow each position.
Sites, in units of the cell vectors:
Zn1 0.0000 0.5000 0.0000  2 Al 2.36
Zn2 0.0000 0.0000 0.5000  2 Al 2.36
Zn3 0.5000 0.0000 0.0000  2 Al 2.36
Co1 0.5000 0.5000 0.5000  12 Zn 3.34
Al1 0.0000 0.0000 0.0000  6 Zn 2.36

Summary:
Polymorph energy (0 for the lowest one), meV per atom: 560
Total moment, μB per cell: 2.02

=====

Entry 5:
Here is crystalline AlZnCo2 at its relaxed geometry from Alexandria via LeMat-Bulk. Energies are from PBE.

Cell lengths 4.7170, 4.7170, 4.2113 Å; angles 70.40, 70.40, 33.38 degrees
Closest atoms and distances in Å follow each position.
Sites, in units of the cell vectors:
Zn1 0.4900 0.4900 0.5605  7 Co 2.50-2.53, 2 Zn 2.71, 3 Al 2.73-2.76
Co1 0.0087 0.0087 0.0490  4 Co 2.49-2.71, 4 Zn 2.50-2.52, 3 Al 2.50-2.55
Co2 0.7402 0.7402 0.7002  4 Al 2.49-2.53, 4 Co 2.49-2.71, 3 Zn 2.52-2.53
Al1 0.2611 0.2611 0.1903  7 Co 2.49-2.55, 2 Al 2.71, 3 Zn 2.73-2.76

Summary:
E, eV per atom: -4.99
Total moment, μB per cell: 1.21

=====

Entry 6:
Here is crystalline AlZnCo2 at its relaxed geometry from Alexandria via LeMat-Bulk. Energies are from PBE.

Cell lengths 8.1346, 8.1346, 8.1346 Å; angles 18.92, 18.92, 18.92 degrees
Closest atoms and distances in Å follow each position.
Sites, in units of the cell vectors:
Zn1 0.2500 0.2500 0.2500  6 Co 2.57, 6 Zn 2.67
Co1 0.0023 0.0023 0.0023  3 Al 2.48, 3 Zn 2.57, 6 Co 2.67
Co2 0.4977 0.4977 0.4977  3 Al 2.48, 3 Zn 2.57, 6 Co 2.67
Al1 0.7500 0.7500 0.7500  6 Co 2.48, 6 Al 2.67

Summary:
E, eV per atom: -4.91
Total moment, μB per cell: 2.11